# 1
Below is CuOs after structural relaxation, with properties calculated at the PBE level.

a b c (Å): 6.6701 6.6701 6.6701
angles (deg): 90.00 90.00 90.00
Site moments in Bohr magnetons follow the coordinates.
Sites, in units of the cell vectors:
1 Cu 0.0000 0.5000 0.7500  0.20
2 Cu 0.5000 0.7500 0.0000  0.20
3 Cu 0.2500 0.0000 0.5000  0.20
4 Cu 0.7500 0.0000 0.5000  0.20
5 Cu 0.5000 0.2500 0.0000  0.20
6 Cu 0.0000 0.5000 0.2500  0.20
7 Os 0.7500 0.5000 0.0000  1.36
8 Os 0.5000 0.0000 0.2500  1.36
9 Os 0.5000 0.0000 0.7500  1.36
10 Os 0.0000 0.7500 0.5000  1.36
11 Os 0.2500 0.5000 0.0000  1.36
12 Os 0.0000 0.2500 0.5000  1.36

Theoretical density, g/cm³: 8.52
Energy, eV per atom: -5.2324
Crystal system: cubic
Symmetry: Pm-3n
Excess energy over the best structure of this formula in the dataset, meV/atom: 2228.7
Formation enthalpy at 0 K, eV/f.u.: 4.86

# 2
Below is CuOs2 after structural relaxation, with properties calculated at the PBE level.

a b c (Å): 2.7665 5.7447 2.7665
angles (deg): 76.07 90.00 103.93
Sites, in units of the cell vectors:
1 Os 0.3301 0.6601 0.6699
2 Os 0.6699 0.3399 0.3301
3 Cu 0.0000 0.0000 0.0000

Theoretical density, g/cm³: 17.83
Energy, eV per atom: -8.5745
Crystal system: tetragonal
Symmetry: I4/mmm
Excess energy over the best structure of this formula in the dataset, meV/atom: 61.5
Formation enthalpy at 0 K, eV/f.u.: 0.83

# 3
Below is CuOs3 after structural relaxation, with properties calculated at the PBE level.

a b c (Å): 2.7269 2.7269 7.4684
angles (deg): 90.00 90.00 90.00
Sites, in units of the cell vectors:
1 Os 0.5000 0.5000 0.7532
2 Os 0.0000 0.0000 0.5000
3 Os 0.5000 0.5000 0.2468
4 Cu 0.0000 0.0000 0.0000

Theoretical density, g/cm³: 18.96
Energy, eV per atom: -9.1350
Crystal system: tetragonal
Symmetry: P4/mmm
Excess energy over the best structure of this formula in the dataset, meV/atom: 155.8
Formation enthalpy at 0 K, eV/f.u.: 1.25

The highest energy belongs to which entry?
CuOs

Look up the formation enthalpy at 0 K of the first one.
4.86 eV/f.u.